DyCoAgCl6 after structural relaxation, computed with PBE.

Values from the calculation:
- formation energy from raw total energies (eV/f.u.) = -11.34
- space group = P-31c, No. 163

Cell lengths 6.5332, 6.5332, 12.1770 Å; angles 90.00, 90.00, 120.00 degrees
Closest atoms and distances in Å follow each position.
Fractional positions:
Cl 0.3401 0.3625 0.3670  1 Co 2.46, 1 Dy 2.65
Cl 0.9776 0.6375 0.8670  1 Co 2.46, 1 Dy 2.65
Cl 0.3625 0.3401 0.8670  1 Co 2.46, 1 Dy 2.65
Cl 0.0224 0.6599 0.3670  1 Co 2.46, 1 Dy 2.65
Cl 0.6375 0.9776 0.3670  1 Co 2.46, 1 Dy 2.65
Cl 0.3401 0.9776 0.1330  1 Co 2.46, 1 Dy 2.65
Cl 0.3625 0.0224 0.6330  1 Co 2.46, 1 Dy 2.65
Cl 0.0224 0.3625 0.1330  1 Co 2.46, 1 Dy 2.65
Cl 0.6375 0.6599 0.1330  1 Co 2.46, 1 Dy 2.65
Cl 0.6599 0.6375 0.6330  1 Co 2.46, 1 Dy 2.65
Cl 0.9776 0.3401 0.6330  1 Co 2.46, 1 Dy 2.65
Cl 0.6599 0.0224 0.8670  1 Co 2.46, 1 Dy 2.65
Co 0.6667 0.3333 0.7500  6 Cl 2.46
Co 0.3333 0.6667 0.2500  6 Cl 2.46
Ag 0.0000 0.0000 0.5000  6 Cl 2.81
Ag 0.0000 0.0000 0.0000  6 Cl 2.81
Dy 0.3333 0.6667 0.7500  6 Cl 2.65
Dy 0.6667 0.3333 0.2500  6 Cl 2.65